DFT (PBE with a Hubbard U) results for CoCuO3 after structural relaxation.

Cell and atoms, written as extended XYZ:
```
5
Lattice="3.652 0.000 0.000 0.000 3.652 0.000 0.000 0.000 3.652" Properties=species:S:1:pos:R:3 pbc="T T T"
Co 0.000 0.000 0.000
Cu 1.826 1.826 1.826
O 0.000 0.000 1.826
O 0.000 1.826 0.000
O 1.826 0.000 0.000
```

Values from the calculation:
Theoretical density (g/cm3): 5.81
Total energy (eV per cell): -24.36


DFT (PBE with a Hubbard U) results for CoCuO after structural relaxation.

Cell and atoms, written as extended XYZ:
```
3
Lattice="2.936 0.000 0.000 0.000 2.936 0.000 0.000 0.000 4.012" Properties=species:S:1:pos:R:3 pbc="T T T"
Co 0.000 0.000 0.000
Cu 1.468 1.468 2.006
O 1.468 1.468 0.000
```

Values from the calculation:
Theoretical density (g/cm3): 6.65
Total energy (eV per cell): -14.80


DFT (PBE with a Hubbard U) results for CoCuO2 after structural relaxation.

Cell and atoms, written as extended XYZ:
```
4
Lattice="1.507 0.870 5.726 -1.507 0.870 5.726 0.000 -1.740 5.726" Properties=species:S:1:pos:R:3 pbc="T T T"
Co 0.000 0.000 0.000
Cu 0.000 0.000 8.589
O 0.000 0.000 1.800
O 0.000 0.000 15.377
```

Values from the calculation:
Theoretical density (g/cm3): 5.70
Total energy (eV per cell): -21.00


DFT (PBE with a Hubbard U) results for Co2CuO after structural relaxation.

Cell and atoms, written as extended XYZ:
```
8
Lattice="-2.905 2.905 3.039 2.905 -2.905 3.039 2.905 2.905 -3.039" Properties=species:S:1:pos:R:3 pbc="T T T"
Co 4.357 1.036 -0.760
Co 1.036 1.452 0.760
Co -1.452 1.869 2.279
Co 1.869 1.452 3.799
Cu 2.905 0.000 1.519
Cu 0.000 0.000 3.039
O 0.000 0.000 0.000
O 0.000 2.905 1.519
```

Values from the calculation:
Theoretical density (g/cm3): 6.39
Total energy (eV per cell): -37.19


DFT (PBE with a Hubbard U) results for Co25Cu11O48 after structural relaxation.

Cell and atoms, written as extended XYZ:
```
84
Lattice="4.972 -8.614 0.000 4.972 8.614 0.000 -3.311 0.000 9.375" Properties=species:S:1:pos:R:3 pbc="T T T"
Co 0.000 0.000 0.000
Co 0.002 2.869 7.029
Co 4.151 7.174 2.340
Co 2.489 7.177 7.034
Co 3.321 5.738 4.684
Co 1.659 0.000 2.341
Co 2.488 4.308 7.028
Co 4.150 4.304 2.341
Co 1.664 2.870 9.372
Co 0.002 -2.869 7.029
Co 4.144 1.436 2.337
Co 2.491 1.436 7.026
Co 3.315 0.000 4.683
Co 4.144 -1.436 2.337
Co 2.491 -1.436 7.026
Co 6.636 2.876 2.337
Co 1.664 -2.870 9.372
Co 2.488 -4.308 7.028
Co 4.150 -4.304 2.341
Co 4.974 0.000 7.033
Co 6.635 0.000 4.098
Co 3.321 -5.738 4.684
Co 4.151 -7.174 2.340
Co 2.489 -7.177 7.034
Co 6.636 -2.876 2.337
Cu 1.662 2.871 0.583
Cu 1.663 2.871 4.099
Cu 0.014 0.000 5.275
Cu 0.005 0.000 8.785
Cu 1.662 -2.871 0.583
Cu 1.663 -2.871 4.099
Cu 4.968 2.881 5.274
Cu 4.975 2.874 8.786
Cu 6.634 0.000 0.572
Cu 4.968 -2.881 5.274
Cu 4.975 -2.874 8.786
O -0.919 1.597 5.923
O 0.740 1.273 1.235
O 3.322 5.740 1.366
O 1.847 5.741 5.923
O -1.841 0.000 8.136
O 0.005 0.000 3.315
O 2.586 4.466 3.446
O 0.925 4.143 8.134
O 0.740 -1.273 1.235
O -0.919 -1.597 5.923
O 1.660 2.871 6.055
O 3.506 2.871 1.234
O 4.791 5.739 3.447
O 3.318 5.741 8.003
O 0.927 1.597 8.134
O 2.583 1.274 3.445
O 4.052 4.471 5.926
O 5.711 4.144 1.232
O 3.318 0.000 1.365
O 1.850 0.000 5.923
O 3.132 2.871 8.131
O 4.977 2.871 3.314
O 2.583 -1.274 3.445
O 0.927 -1.597 8.134
O 5.713 1.599 1.233
O 4.053 1.274 5.922
O 1.660 -2.871 6.055
O 3.506 -2.871 1.234
O 4.795 0.000 3.447
O 3.315 0.000 7.999
O 0.925 -4.143 8.134
O 2.586 -4.466 3.446
O 4.053 -1.274 5.922
O 5.713 -1.599 1.233
O 3.322 -5.740 1.366
O 1.847 -5.741 5.923
O 3.132 -2.871 8.131
O 4.977 -2.871 3.314
O 7.553 1.595 3.449
O 5.896 1.273 8.138
O 5.711 -4.144 1.232
O 4.052 -4.471 5.926
O 6.632 0.000 6.050
O 8.476 0.000 1.239
O 4.791 -5.739 3.447
O 3.318 -5.741 8.003
O 5.896 -1.273 8.138
O 7.553 -1.595 3.449
```

Values from the calculation:
Theoretical density (g/cm3): 6.08
Total energy (eV per cell): -483.95


DFT (PBE with a Hubbard U) results for CoCuO3 after structural relaxation.

Cell and atoms, written as extended XYZ:
```
5
Lattice="3.680 0.000 0.000 0.000 3.680 0.000 0.000 0.000 3.680" Properties=species:S:1:pos:R:3 pbc="T T T"
Co 0.000 0.000 0.000
Cu 1.840 1.840 1.840
O 0.000 1.840 1.840
O 1.840 0.000 1.840
O 1.840 1.840 0.000
```

Values from the calculation:
Theoretical density (g/cm3): 5.68
Total energy (eV per cell): -23.95


DFT (PBE with a Hubbard U) results for CoCuO2 after structural relaxation.

Cell and atoms, written as extended XYZ:
```
4
Lattice="1.434 0.828 5.675 -1.434 0.828 5.675 0.000 -1.656 5.675" Properties=species:S:1:pos:R:3 pbc="T T T"
Co 0.000 0.000 0.000
Cu 0.000 0.000 8.513
O 0.000 0.000 6.658
O 0.000 0.000 10.367
```

Values from the calculation:
Theoretical density (g/cm3): 6.35
Total energy (eV per cell): -22.46


DFT (PBE with a Hubbard U) results for CoCuO2 after structural relaxation.

Cell and atoms, written as extended XYZ:
```
8
Lattice="1.391 -9.881 0.000 1.391 9.881 0.000 0.000 0.000 3.001" Properties=species:S:1:pos:R:3 pbc="T T T"
Co 1.391 6.241 2.251
Co 1.391 -6.241 0.750
Cu 1.391 0.936 2.251
Cu 1.391 -0.936 0.750
O 1.391 4.120 2.251
O 1.391 2.076 0.750
O 1.391 -2.076 2.251
O 1.391 -4.120 0.750
```

Values from the calculation:
Theoretical density (g/cm3): 6.22
Total energy (eV per cell): -42.09


DFT (PBE with a Hubbard U) results for CoCuO3 after structural relaxation.

Cell and atoms, written as extended XYZ:
```
10
Lattice="2.477 -4.231 0.000 2.477 4.231 0.000 -2.289 0.000 4.776" Properties=species:S:1:pos:R:3 pbc="T T T"
Co 2.477 2.806 0.000
Co 2.477 -2.806 0.000
Cu 0.103 0.000 3.025
Cu 2.562 0.000 1.750
O -0.718 1.523 3.778
O 0.641 0.000 1.105
O -0.718 -1.523 3.778
O 3.383 1.523 0.998
O 2.024 0.000 3.670
O 3.383 -1.523 0.998
```

Values from the calculation:
Theoretical density (g/cm3): 5.66
Total energy (eV per cell): -54.10


DFT (PBE with a Hubbard U) results for CoCu2O4 after structural relaxation.

Cell and atoms, written as extended XYZ:
```
7
Lattice="2.543 -4.756 0.000 2.543 4.756 0.000 0.000 0.000 2.846" Properties=species:S:1:pos:R:3 pbc="T T T"
Co 0.000 0.000 0.000
Cu 2.543 1.619 1.423
Cu 2.543 -1.619 1.423
O 1.271 2.378 0.000
O 1.253 0.000 1.423
O 1.271 -2.378 0.000
O 3.833 0.000 1.423
```

Values from the calculation:
Theoretical density (g/cm3): 6.03
Total energy (eV per cell): -36.10


DFT (PBE with a Hubbard U) results for Co5CuO8 after structural relaxation.

Cell and atoms, written as extended XYZ:
```
14
Lattice="2.888 1.668 4.776 -2.888 1.668 4.776 0.000 -3.335 4.776" Properties=species:S:1:pos:R:3 pbc="T T T"
Co -1.444 -0.834 4.776
Co 0.000 0.000 1.778
Co -1.444 0.834 9.552
Co 0.000 1.668 4.776
Co 0.000 0.000 12.550
Cu 0.000 0.000 7.164
O 0.000 -1.521 5.843
O -1.317 0.761 5.843
O 0.000 0.000 3.768
O -1.317 -0.761 8.486
O 1.317 0.761 5.843
O 0.000 0.000 10.560
O 1.317 -0.761 8.486
O 0.000 1.521 8.486
```

Values from the calculation:
Theoretical density (g/cm3): 5.85
Total energy (eV per cell): -82.34


DFT (PBE with a Hubbard U) results for CoCu2O4 after structural relaxation.

Cell and atoms, written as extended XYZ:
```
7
Lattice="-2.875 2.875 2.821 2.875 -2.875 2.821 2.875 2.875 -2.821" Properties=species:S:1:pos:R:3 pbc="T T T"
Co 0.000 0.000 0.000
Cu 2.875 0.000 1.411
Cu 0.000 2.875 1.411
O 4.062 0.636 0.000
O 0.636 1.689 0.000
O 2.240 1.186 2.821
O -1.186 2.240 2.821
```

Values from the calculation:
Theoretical density (g/cm3): 4.45
Total energy (eV per cell): -35.88